DFT (PBE) results for crystalline Na2SeBr at its relaxed geometry.

```
data_Na2SeBr
_cell_length_a 5.209
_cell_length_b 5.209
_cell_length_c 5.209
_cell_angle_alpha 60.00
_cell_angle_beta 60.00
_cell_angle_gamma 60.00
_symmetry_space_group_name_H-M 'P 1'
_symmetry_Int_Tables_number 1
loop_
_symmetry_equiv_pos_as_xyz
'x,y,z'
loop_
_atom_site_label
_atom_site_type_symbol
_atom_site_fract_x
_atom_site_fract_y
_atom_site_fract_z
_atom_site_occupancy
Na1 Na 0.250 0.250 0.250 1
Na2 Na 0.750 0.750 0.750 1
Se1 Se 0.000 0.000 0.000 1
Br1 Br 0.500 0.500 0.500 1
```

Results
- SG: Fm-3m (225)
- Formation energy (no corrections): -329.8 kJ/mol of formula units
- N(E_F): 3.36 states/eV per cell
- Mass density: 3403 kg/m³
- Raw total energy: -2.804 eV per atom
- Excess energy over the best structure of this formula in the dataset: 30 meV per atom